First-principles (PBE) data for a relaxed Na2MgAl2 crystal, as listed in the Alexandria database.

Output
The calculation puts the total DFT energy (no corrections) at -10.31 eV per cell. The calculation puts the formation energy at 0.282 eV/atom. As for the energy above the most stable polymorph in this dataset: 65 meV/atom.

Cell: 4.104 4.104 7.909 Å, 74.96 74.96 90.00°
Positions (direct):
Na (0.750, 0.250, 0.500)
Na (0.250, 0.750, 0.500)
Mg (0.000, 0.000, 0.000)
Al (0.587, 0.587, 0.825)
Al (0.413, 0.413, 0.175)